1.
Computed, not measured: crystalline LiGaHgRh2 at its relaxed geometry at the PBEsol level of DFT.

a = 4.786 Å, b = 4.994 Å, c = 4.994 Å
α = 90.00°, β = 90.00°, γ = 90.00°
Sites, in units of the cell vectors:
Rh 0.000 0.000 0.500
Rh 0.000 0.500 0.000
Hg 0.000 0.000 0.000
Ga 0.500 0.000 0.000
Li 0.500 0.500 0.500

Results
* SG: P4/mmm (123)
* E_form: 572 kJ/mol of formula units
* uncorrected energy: -0.239 Ry per atom
* D(E_F): 8.35 states/eV/cell
* calculated volume: 23.9 Å³/atom

---

2.
Computed, not measured: crystalline CrTe2OsI at its relaxed geometry at the PBEsol level of DFT.

a = 5.076 Å, b = 5.076 Å, c = 5.652 Å
α = 90.00°, β = 90.00°, γ = 90.00°
Each line ends with the local moment (μB).
Sites, in units of the cell vectors:
I 0.000 0.000 0.500  -0.02
Cr 0.500 0.500 0.500  4.24
Te 0.000 0.500 0.000  -0.07
Te 0.500 0.000 0.000  -0.07
Os 0.000 0.000 0.000  -0.06

Results
* SG: P4/mmm (123)
* formation energy from raw total energies: 1058.4 meV/atom
* uncorrected energy: -0.382 Ry per atom
* D(E_F): 5.43 states/eV/cell
* calculated volume: 29.1 Å³/atom

---

3.
Computed, not measured: crystalline LiPb2 at its relaxed geometry at the PBEsol level of DFT.

a = 3.510 Å, b = 5.496 Å, c = 8.155 Å
α = 90.00°, β = 90.00°, γ = 90.00°
Sites, in units of the cell vectors:
Pb 0.000 0.501 0.190
Pb 0.000 0.499 0.810
Pb 0.500 0.999 0.690
Pb 0.500 0.001 0.310
Li 0.000 0.000 0.000
Li 0.500 0.500 0.500

Results
* SG: Immm (71)
* E_form: -40 kJ/mol of formula units
* uncorrected energy: -0.254 Ry per atom
* D(E_F): 1.52 states/eV/cell
* calculated volume: 26.2 Å³/atom

---

4.
Computed, not measured: crystalline Ti2TcAgAu at its relaxed geometry at the PBEsol level of DFT.

a = 4.478 Å, b = 4.478 Å, c = 4.980 Å
α = 90.00°, β = 90.00°, γ = 90.00°
Sites, in units of the cell vectors:
Au 0.500 0.500 0.500
Tc 0.000 0.000 0.000
Ag 0.000 0.000 0.500
Ti 0.000 0.500 0.000
Ti 0.500 0.000 0.000

Results
* SG: P4/mmm (123)
* E_form: 359 kJ/mol of formula units
* uncorrected energy: -0.462 Ry per atom
* D(E_F): 3.45 states/eV/cell
* calculated volume: 20.0 Å³/atom

---

Question: Number 4 is which compound?
Answer: Ti2TcAgAu